Record 1
ZnCrSe2 | PBE-GGA | relaxed

The calculated volume is 19.2 Å³/atom. The calculated density comes out at 5.94 g cm⁻³. The value obtained for the formation energy without anion corrections is -0.35 eV per atom.

It has space group C2/m (No. 12), with a = 6.5665 Å, b = 3.7958 Å, c = 6.5491 Å, α = 90.00°, β = 109.42° and γ = 90.00°. The inequivalent atoms are Zn at (0.0000, 0.0000, 0.0000), Cr at (0.0000, 0.5000, 0.5000) and Se at (0.2456, 0.0000, 0.7406).

Record 2
Zn2Cr2Se | PBE-GGA | relaxed

The calculated volume is 17.5 Å³/atom. The calculated density comes out at 5.96 g cm⁻³. The value obtained for the formation energy without anion corrections is 0.28 eV per atom. Its energy above the most stable polymorph in this dataset is 0.0912 eV/atom.

It has space group I4/mmm (No. 139), with a = 3.4697 Å, b = 3.4697 Å, c = 14.5166 Å, α = 90.00°, β = 90.00° and γ = 90.00°. The inequivalent atoms are Zn at (0.0000, 0.5000, 0.2500), Cr at (0.0000, 0.0000, 0.0986) and Se at (0.0000, 0.0000, 0.5000).